# 1
Compound: ReSb3
Source: Alexandria via LeMat-Bulk
Functional: PBE
Structure: optimized geometry

Output
Total magnetic moment   0.00 μB/f.u.
Total energy   -5.43 eV/atom
Calculated volume   21.7 Å³ per atom
ΔE to the lowest computed polymorph   0.466 eV/atom

Cell: 4.841 4.841 7.422 Å, 90.00 90.00 90.00°
Space group I4/mmm (No. 139)
Inequivalent atoms, fractional coordinates:
Re 0.000 0.000 0.000 (multiplicity 2)
Sb 0.000 0.000 0.500 (multiplicity 2)
Sb 0.000 0.500 0.250 (multiplicity 4)

***

# 2
Compound: NaRe4Se7
Source: Alexandria via LeMat-Bulk
Functional: PBE
Structure: optimized geometry

Output
Total magnetic moment   0.00 μB/f.u.
Total energy   -6.31 eV/atom
Calculated volume   24.5 Å³ per atom

Cell: 6.083 6.422 15.043 Å, 89.95 89.98 87.17°
Space group P1 (No. 1)
Inequivalent atoms, fractional coordinates:
Na 0.000 0.000 0.000 (multiplicity 1)
Na 0.317 0.563 0.500 (multiplicity 1)
Re 0.201 0.000 0.646 (multiplicity 1)
Re 0.201 0.999 0.354 (multiplicity 1)
Re 0.556 0.048 0.768 (multiplicity 1)
Re 0.557 0.047 0.232 (multiplicity 1)
Re 0.582 0.707 0.149 (multiplicity 1)
Re 0.582 0.708 0.852 (multiplicity 1)
Re 0.934 0.802 0.224 (multiplicity 1)
Re 0.934 0.802 0.776 (multiplicity 1)
Se 0.078 0.174 0.500 (multiplicity 1)
Se 0.323 0.667 0.275 (multiplicity 1)
Se 0.324 0.668 0.725 (multiplicity 1)
Se 0.466 0.314 0.129 (multiplicity 1)
Se 0.466 0.314 0.871 (multiplicity 1)
Se 0.500 0.865 0.000 (multiplicity 1)
Se 0.552 0.125 0.609 (multiplicity 1)
Se 0.553 0.121 0.392 (multiplicity 1)
Se 0.905 0.748 0.385 (multiplicity 1)
Se 0.905 0.749 0.615 (multiplicity 1)
Se 0.947 0.560 0.101 (multiplicity 1)
Se 0.947 0.560 0.899 (multiplicity 1)
Se 0.955 0.176 0.755 (multiplicity 1)
Se 0.956 0.176 0.245 (multiplicity 1)